--- one ---
CaTcTe: relaxed, PBEsol.

```
data_CaTcTe
_space_group_name_H-M_alt 'P 3 m 1'
_space_group_IT_number 156
_space_group_name_Hall 'P 3 -2"'
_cell_length_a 3.5176
_cell_length_b 3.5176
_cell_length_c 6.5548
_cell_angle_alpha 90.00
_cell_angle_beta 90.00
_cell_angle_gamma 120.00
loop_
_atom_site_label
_atom_site_fract_x
_atom_site_fract_y
_atom_site_fract_z
Ca1 0.0000 0.0000 0.0000
Tc1 0.6667 0.3333 0.6491
Te1 0.3333 0.6667 0.4038
```

Volume ... 70.2 Å³ per cell
DOS(E_F) ... 1.34 states/eV/cell
Size of the total moment ... 0.0 μB per cell


--- two ---
CaTcTe: relaxed, PBEsol.

```
data_CaTcTe
_space_group_name_H-M_alt 'F -4 3 m'
_space_group_IT_number 216
_space_group_name_Hall 'F -4 2 3'
_cell_length_a 6.4538
_cell_length_b 6.4538
_cell_length_c 6.4538
_cell_angle_alpha 90.00
_cell_angle_beta 90.00
_cell_angle_gamma 90.00
loop_
_atom_site_label
_atom_site_fract_x
_atom_site_fract_y
_atom_site_fract_z
Ca1 0.0000 0.0000 0.0000
Tc1 0.2500 0.2500 0.7500
Te1 0.0000 0.0000 0.5000
```

Volume ... 268.8 Å³ per cell
DOS(E_F) ... 13.35 states/eV/cell
Size of the total moment ... 0.0 μB per cell


Ordering by calculated energy gives the sequence one, two, with the first entry being the most stable.


--- one ---
CaTcTe2: relaxed, PBEsol.

```
data_CaTcTe2
_space_group_name_H-M_alt 'I m m m'
_space_group_IT_number 71
_space_group_name_Hall '-I 2 2'
_cell_length_a 4.4489
_cell_length_b 5.4622
_cell_length_c 7.3027
_cell_angle_alpha 90.00
_cell_angle_beta 90.00
_cell_angle_gamma 90.00
loop_
_atom_site_label
_atom_site_fract_x
_atom_site_fract_y
_atom_site_fract_z
Ca1 0.0000 0.0000 0.0000
Tc1 0.0000 0.0000 0.5000
Te1 0.0000 0.5000 0.2187
```

Volume ... 177.5 Å³ per cell
DOS(E_F) ... 4.52 states/eV/cell
Size of the total moment ... 0.0 μB per cell


--- two ---
CaTcTe2: relaxed, PBEsol.

```
data_CaTcTe2
_space_group_name_H-M_alt 'C 1 m 1'
_space_group_IT_number 8
_space_group_name_Hall 'C -2y'
_cell_length_a 8.9407
_cell_length_b 3.5171
_cell_length_c 6.7591
_cell_angle_alpha 90.00
_cell_angle_beta 110.13
_cell_angle_gamma 90.00
loop_
_atom_site_label
_atom_site_fract_x
_atom_site_fract_y
_atom_site_fract_z
Ca1 0.0000 0.0000 0.0000
Tc1 0.3027 0.0000 0.5907
Te1 0.1125 0.5000 0.6680
Te2 0.2870 0.5000 0.2813
```

Volume ... 199.6 Å³ per cell
DOS(E_F) ... 4.72 states/eV/cell
Size of the total moment ... 0.0 μB per cell


--- three ---
CaTcTe2: relaxed, PBEsol.

```
data_CaTcTe2
_space_group_name_H-M_alt 'A m m 2'
_space_group_IT_number 38
_space_group_name_Hall 'A 2 -2'
_cell_length_a 4.7644
_cell_length_b 4.1603
_cell_length_c 11.2473
_cell_angle_alpha 90.00
_cell_angle_beta 90.00
_cell_angle_gamma 90.00
loop_
_atom_site_label
_atom_site_fract_x
_atom_site_fract_y
_atom_site_fract_z
Ca1 0.0000 0.0000 0.0000
Tc1 0.5000 0.0000 0.7961
Te1 0.0000 0.0000 0.7141
Te2 0.5000 0.0000 0.4311
```

Volume ... 222.9 Å³ per cell
DOS(E_F) ... 5.63 states/eV/cell
Size of the total moment ... 0.0 μB per cell


Ordering by calculated energy gives the sequence two, three, one, with the first entry being the most stable.


--- one ---
Ca2YTc: relaxed, PBEsol.

```
data_Ca2YTc
_space_group_name_H-M_alt 'I m m m'
_space_group_IT_number 71
_space_group_name_Hall '-I 2 2'
_cell_length_a 3.3415
_cell_length_b 4.5808
_cell_length_c 15.8247
_cell_angle_alpha 90.00
_cell_angle_beta 90.00
_cell_angle_gamma 90.00
loop_
_atom_site_label
_atom_site_fract_x
_atom_site_fract_y
_atom_site_fract_z
Ca1 0.0000 0.0000 0.1609
Y1 0.0000 0.5000 0.0000
Tc1 0.0000 0.5000 0.5000
```

Volume ... 242.2 Å³ per cell
DOS(E_F) ... 11.28 states/eV/cell
Size of the total moment ... 0.7 μB per cell


--- two ---
Ca2YTc: relaxed, PBEsol.

```
data_Ca2YTc
_space_group_name_H-M_alt 'I 4/m m m'
_space_group_IT_number 139
_space_group_name_Hall '-I 4 2'
_cell_length_a 4.4613
_cell_length_b 4.4613
_cell_length_c 9.9166
_cell_angle_alpha 90.00
_cell_angle_beta 90.00
_cell_angle_gamma 90.00
loop_
_atom_site_label
_atom_site_fract_x
_atom_site_fract_y
_atom_site_fract_z
Ca1 0.0000 0.5000 0.2500
Y1 0.0000 0.0000 0.0000
Tc1 0.0000 0.0000 0.5000
```

Volume ... 197.4 Å³ per cell
DOS(E_F) ... 6.03 states/eV/cell
Size of the total moment ... 0.0 μB per cell


Ordering by calculated energy gives the sequence one, two, with the first entry being the most stable.


--- one ---
CaZrTc2: relaxed, PBEsol.

```
data_CaZrTc2
_space_group_name_H-M_alt 'P 1 m 1'
_space_group_IT_number 6
_space_group_name_Hall 'P -2y'
_cell_length_a 3.0739
_cell_length_b 3.8886
_cell_length_c 7.0100
_cell_angle_alpha 90.00
_cell_angle_beta 97.21
_cell_angle_gamma 90.00
loop_
_atom_site_label
_atom_site_fract_x
_atom_site_fract_y
_atom_site_fract_z
Ca1 0.0000 0.0000 0.0000
Zr1 0.3760 0.5000 0.6330
Tc1 0.5281 0.5000 0.2880
Tc2 0.9028 0.0000 0.4307
```

Volume ... 83.1 Å³ per cell
DOS(E_F) ... 2.77 states/eV/cell
Size of the total moment ... 0.0 μB per cell


--- two ---
CaZrTc2: relaxed, PBEsol.

```
data_CaZrTc2
_space_group_name_H-M_alt 'I -4 m 2'
_space_group_IT_number 119
_space_group_name_Hall 'I -4 -2'
_cell_length_a 3.8784
_cell_length_b 3.8784
_cell_length_c 9.5353
_cell_angle_alpha 90.00
_cell_angle_beta 90.00
_cell_angle_gamma 90.00
loop_
_atom_site_label
_atom_site_fract_x
_atom_site_fract_y
_atom_site_fract_z
Ca1 0.0000 0.0000 0.0000
Zr1 0.0000 0.5000 0.7500
Tc1 0.0000 0.0000 0.5000
Tc2 0.0000 0.5000 0.2500
```

Volume ... 143.4 Å³ per cell
DOS(E_F) ... 10.39 states/eV/cell
Size of the total moment ... 0.0 μB per cell


Ordering by calculated energy gives the sequence one, two, with the first entry being the most stable.


--- one ---
Ca2TlTe: relaxed, PBEsol.

```
data_Ca2TlTe
_space_group_name_H-M_alt 'F m -3 m'
_space_group_IT_number 225
_space_group_name_Hall '-F 4 2 3'
_cell_length_a 7.6918
_cell_length_b 7.6918
_cell_length_c 7.6918
_cell_angle_alpha 90.00
_cell_angle_beta 90.00
_cell_angle_gamma 90.00
loop_
_atom_site_label
_atom_site_fract_x
_atom_site_fract_y
_atom_site_fract_z
Ca1 0.2500 0.2500 0.2500
Tl1 0.0000 0.0000 0.0000
Te1 0.0000 0.0000 0.5000
```

Volume ... 455.1 Å³ per cell
DOS(E_F) ... 10.95 states/eV/cell
Size of the total moment ... 0.0 μB per cell


--- two ---
Ca2TlTe: relaxed, PBEsol.

```
data_Ca2TlTe
_space_group_name_H-M_alt 'P 1 2/m 1'
_space_group_IT_number 10
_space_group_name_Hall '-P 2y'
_cell_length_a 3.9271
_cell_length_b 3.9271
_cell_length_c 7.3222
_cell_angle_alpha 90.00
_cell_angle_beta 90.06
_cell_angle_gamma 90.00
loop_
_atom_site_label
_atom_site_fract_x
_atom_site_fract_y
_atom_site_fract_z
Ca1 0.9996 0.0000 0.2464
Tl1 0.5000 0.5000 0.5000
Te1 0.5000 0.5000 0.0000
```

Volume ... 112.9 Å³ per cell
DOS(E_F) ... 2.12 states/eV/cell
Size of the total moment ... 0.0 μB per cell


Ordering by calculated energy gives the sequence two, one, with the first entry being the most stable.


--- one ---
CaTl2W: relaxed, PBEsol.

```
data_CaTl2W
_space_group_name_H-M_alt 'C m m m'
_space_group_IT_number 65
_space_group_name_Hall '-C 2 2'
_cell_length_a 6.2776
_cell_length_b 8.8265
_cell_length_c 3.0518
_cell_angle_alpha 90.00
_cell_angle_beta 90.00
_cell_angle_gamma 90.00
loop_
_atom_site_label
_atom_site_fract_x
_atom_site_fract_y
_atom_site_fract_z
Ca1 0.0000 0.0000 0.0000
Tl1 0.2500 0.2500 0.5000
W1 0.0000 0.5000 0.0000
```

Volume ... 169.1 Å³ per cell
DOS(E_F) ... 5.63 states/eV/cell
Size of the total moment ... 0.0 μB per cell


--- two ---
CaTl2W: relaxed, PBEsol.

```
data_CaTl2W
_space_group_name_H-M_alt 'R -3 m'
_space_group_IT_number 166
_space_group_name_Hall '-R 3 2"'
_cell_length_a 3.2412
_cell_length_b 3.2412
_cell_length_c 29.1532
_cell_angle_alpha 90.00
_cell_angle_beta 90.00
_cell_angle_gamma 120.00
loop_
_atom_site_label
_atom_site_fract_x
_atom_site_fract_y
_atom_site_fract_z
Ca1 0.0000 0.0000 0.0000
Tl1 0.0000 0.0000 0.2447
W1 0.0000 0.0000 0.5000
```

Volume ... 265.2 Å³ per cell
DOS(E_F) ... 7.07 states/eV/cell
Size of the total moment ... 0.0 μB per cell


Ordering by calculated energy gives the sequence two, one, with the first entry being the most stable.


--- one ---
CaTlW2: relaxed, PBEsol.

```
data_CaTlW2
_space_group_name_H-M_alt 'C m m 2'
_space_group_IT_number 35
_space_group_name_Hall 'C 2 -2'
_cell_length_a 3.3699
_cell_length_b 4.9311
_cell_length_c 9.6497
_cell_angle_alpha 90.00
_cell_angle_beta 90.00
_cell_angle_gamma 90.00
loop_
_atom_site_label
_atom_site_fract_x
_atom_site_fract_y
_atom_site_fract_z
Ca1 0.0000 0.0000 0.0000
Tl1 0.0000 0.5000 0.2831
W1 0.0000 0.0000 0.5382
W2 0.0000 0.5000 0.7362
```

Volume ... 160.4 Å³ per cell
DOS(E_F) ... 6.28 states/eV/cell
Size of the total moment ... 0.0 μB per cell


--- two ---
CaTlW2: relaxed, PBEsol.

```
data_CaTlW2
_space_group_name_H-M_alt 'P 1 2/m 1'
_space_group_IT_number 10
_space_group_name_Hall '-P 2y'
_cell_length_a 2.8650
_cell_length_b 5.1553
_cell_length_c 5.2905
_cell_angle_alpha 90.00
_cell_angle_beta 93.80
_cell_angle_gamma 90.00
loop_
_atom_site_label
_atom_site_fract_x
_atom_site_fract_y
_atom_site_fract_z
Ca1 0.0000 0.0000 0.0000
Tl1 0.5000 0.0000 0.5000
W1 0.3375 0.5000 0.7688
```

Volume ... 78.0 Å³ per cell
DOS(E_F) ... 2.63 states/eV/cell
Size of the total moment ... 0.0 μB per cell


--- three ---
CaTlW2: relaxed, PBEsol.

```
data_CaTlW2
_space_group_name_H-M_alt 'F m -3 m'
_space_group_IT_number 225
_space_group_name_Hall '-F 4 2 3'
_cell_length_a 6.7420
_cell_length_b 6.7420
_cell_length_c 6.7420
_cell_angle_alpha 90.00
_cell_angle_beta 90.00
_cell_angle_gamma 90.00
loop_
_atom_site_label
_atom_site_fract_x
_atom_site_fract_y
_atom_site_fract_z
Ca1 0.0000 0.0000 0.0000
Tl1 0.0000 0.0000 0.5000
W1 0.2500 0.2500 0.2500
```

Volume ... 306.5 Å³ per cell
DOS(E_F) ... 18.55 states/eV/cell
Size of the total moment ... 10.3 μB per cell


Ordering by calculated energy gives the sequence one, two, three, with the first entry being the most stable.


--- one ---
CaY2Tl: relaxed, PBEsol.

```
data_CaY2Tl
_space_group_name_H-M_alt 'P 4/m m m'
_space_group_IT_number 123
_space_group_name_Hall '-P 4 2'
_cell_length_a 4.8618
_cell_length_b 4.8618
_cell_length_c 4.7564
_cell_angle_alpha 90.00
_cell_angle_beta 90.00
_cell_angle_gamma 90.00
loop_
_atom_site_label
_atom_site_fract_x
_atom_site_fract_y
_atom_site_fract_z
Ca1 0.0000 0.0000 0.0000
Y1 0.0000 0.5000 0.5000
Tl1 0.5000 0.5000 0.0000
```

Volume ... 112.4 Å³ per cell
DOS(E_F) ... 3.60 states/eV/cell
Size of the total moment ... 0.0 μB per cell


--- two ---
CaY2Tl: relaxed, PBEsol.

```
data_CaY2Tl
_space_group_name_H-M_alt 'I m m m'
_space_group_IT_number 71
_space_group_name_Hall '-I 2 2'
_cell_length_a 3.7786
_cell_length_b 5.4159
_cell_length_c 11.7031
_cell_angle_alpha 90.00
_cell_angle_beta 90.00
_cell_angle_gamma 90.00
loop_
_atom_site_label
_atom_site_fract_x
_atom_site_fract_y
_atom_site_fract_z
Ca1 0.0000 0.0000 0.0000
Y1 0.0000 0.5000 0.2154
Tl1 0.0000 0.0000 0.5000
```

Volume ... 239.5 Å³ per cell
DOS(E_F) ... 7.18 states/eV/cell
Size of the total moment ... 0.0 μB per cell


Ordering by calculated energy gives the sequence two, one, with the first entry being the most stable.